This record from Alexandria describes KAgBrCl2 after structural relaxation. The functional is PBE-GGA.

Values from the calculation:
calculated density = 3.48 g cm⁻³
formation energy from raw total energies = -955.4 meV per atom

Structure (POSCAR):
```
KAgBrCl2
1.0
5.135 0.000 0.000
0.000 5.135 0.000
0.000 0.000 5.389
K Ag Br Cl
1 1 1 2
Cartesian
0.000 0.000 0.000
2.567 2.567 2.694
2.567 2.567 0.000
0.000 2.567 2.694
2.567 0.000 2.694
```

---

This record from Alexandria describes KAg2Br2Cl after structural relaxation. The functional is PBE-GGA.

Values from the calculation:
calculated density = 3.63 g cm⁻³
formation energy from raw total energies = -812.0 meV per atom

Structure (POSCAR):
```
KAg2Br2Cl
1.0
8.062 0.000 0.000
0.000 5.776 0.000
-2.287 0.000 8.844
K Ag Br Cl
2 4 4 2
Cartesian
0.655 1.444 3.486
5.120 4.332 5.358
0.859 0.006 7.276
0.859 2.882 7.276
4.915 2.894 1.568
4.915 5.770 1.568
-1.244 1.444 6.356
1.818 4.332 5.190
3.957 1.444 3.655
7.018 4.332 2.488
2.765 4.332 0.653
3.009 1.444 8.191
```

---

This record from Alexandria describes LiAg2Br2Cl after structural relaxation. The functional is PBE-GGA.

Values from the calculation:
calculated density = 4.17 g cm⁻³
formation energy from raw total energies = -803.9 meV per atom

Structure (POSCAR):
```
LiAg2Br2Cl
1.0
6.460 -3.710 0.000
6.460 3.710 0.000
0.000 0.000 6.949
Li Ag Br Cl
2 4 4 2
Cartesian
6.460 2.637 3.474
6.460 -2.637 0.000
4.408 1.288 0.165
8.511 1.288 0.165
4.408 -1.288 3.639
8.511 -1.288 3.639
4.439 1.329 4.375
8.481 1.329 4.375
4.439 -1.329 0.901
8.481 -1.329 0.901
6.460 2.656 1.084
6.460 -2.656 4.559
```

---

This record from Alexandria describes Li2AgBrCl2 after structural relaxation. The functional is PBE-GGA.

Values from the calculation:
calculated density = 3.11 g cm⁻³
formation energy from raw total energies = -1301.3 meV per atom

Structure (POSCAR):
```
Li2AgBrCl2
1.0
6.251 -3.570 0.000
6.251 3.570 0.000
0.000 0.000 6.522
Li Ag Br Cl
4 2 2 4
Cartesian
2.219 1.125 0.000
2.219 -1.125 3.261
10.283 1.125 0.000
10.283 -1.125 3.261
6.251 1.313 0.208
6.251 -1.313 3.470
6.251 1.369 3.961
6.251 -1.369 0.699
2.264 1.095 4.132
2.264 -1.095 0.871
10.238 1.095 4.132
10.238 -1.095 0.871
```

---

This record from Alexandria describes MgAg3Br2Cl6 after structural relaxation. The functional is PBE-GGA.

Values from the calculation:
calculated density = 3.98 g cm⁻³
formation energy from raw total energies = -626.7 meV per atom

Structure (POSCAR):
```
MgAg3Br2Cl6
1.0
6.421 -3.886 0.000
6.421 3.886 0.000
-0.211 0.000 6.027
Mg Ag Br Cl
1 3 2 6
Cartesian
0.000 0.000 0.000
3.210 1.943 0.000
3.210 -1.943 0.000
6.315 0.000 3.014
4.123 0.000 4.445
8.508 0.000 1.582
5.262 2.011 1.415
1.953 0.000 1.411
7.369 2.011 4.612
5.262 -2.011 1.415
10.678 0.000 4.616
7.369 -2.011 4.612
```

---

This record from Alexandria describes MnAg3Br6Cl2 after structural relaxation. The functional is PBE-GGA.

Values from the calculation:
calculated density = 4.68 g cm⁻³
formation energy from raw total energies = -401.8 meV per atom

Structure (POSCAR):
```
MnAg3Br6Cl2
1.0
6.876 -3.889 0.000
6.876 3.889 0.000
-1.116 0.000 6.165
Mn Ag Br Cl
1 3 6 2
Cartesian
0.000 0.000 0.000
3.438 1.944 0.000
3.438 -1.944 0.000
6.318 0.000 3.082
0.829 0.000 4.694
4.747 2.114 4.753
7.890 2.114 1.412
4.747 -2.114 4.753
7.890 -2.114 1.412
11.807 0.000 1.470
4.369 0.000 1.608
8.268 0.000 4.557
```

---

This record from Alexandria describes MnAgBrCl6 after structural relaxation. The functional is PBE-GGA.

Values from the calculation:
calculated density = 2.58 g cm⁻³
formation energy from raw total energies = -556.1 meV per atom

Structure (POSCAR):
```
MnAgBrCl6
1.0
6.603 0.000 0.000
-2.646 6.056 0.000
-0.086 -0.063 7.338
Mn Ag Br Cl
1 1 1 6
Cartesian
0.000 0.000 0.000
0.347 3.970 7.338
5.131 0.905 3.662
-1.748 4.626 1.469
-1.059 5.739 5.875
0.973 1.746 1.062
2.661 4.400 6.278
4.658 0.233 1.401
5.530 1.621 5.926
```

---

This record from Alexandria describes MnAg3Br2Cl6 after structural relaxation. The functional is PBE-GGA.

Values from the calculation:
calculated density = 4.14 g cm⁻³
formation energy from raw total energies = -529.1 meV per atom

Structure (POSCAR):
```
MnAg3Br2Cl6
1.0
6.872 -3.716 0.000
6.872 3.716 0.000
-0.402 0.000 5.891
Mn Ag Br Cl
1 3 2 6
Cartesian
0.000 0.000 0.000
3.436 1.858 0.000
3.436 -1.858 0.000
6.671 0.000 2.946
4.315 0.000 1.700
9.027 0.000 4.191
1.451 0.000 4.564
5.524 2.068 4.575
7.818 2.068 1.316
5.524 -2.068 4.575
7.818 -2.068 1.316
11.891 0.000 1.327
```

---

This record from Alexandria describes Ag3MoBr2Cl6 after structural relaxation. The functional is PBE-GGA.

Values from the calculation:
calculated density = 4.06 g cm⁻³
formation energy from raw total energies = -575.1 meV per atom

Structure (POSCAR):
```
Ag3MoBr2Cl6
1.0
7.276 -3.783 0.000
7.276 3.783 0.000
-0.810 0.000 5.888
Ag Mo Br Cl
3 1 2 6
Cartesian
0.000 0.000 0.000
3.233 1.891 2.944
3.233 -1.891 2.944
6.871 0.000 2.944
2.360 0.000 1.351
11.382 0.000 4.537
5.940 1.680 1.562
7.802 1.680 4.326
4.887 0.000 4.236
8.855 0.000 1.652
5.940 -1.680 1.562
7.802 -1.680 4.326
```

---

This record from Alexandria describes AgBr2NCl after structural relaxation. The functional is PBE-GGA.

Values from the calculation:
calculated density = 5.25 g cm⁻³
formation energy from raw total energies = 831.1 meV per atom

Structure (POSCAR):
```
AgBr2NCl
1.0
4.736 0.000 0.000
0.000 4.736 0.000
0.000 0.000 4.476
Ag Br N Cl
1 2 1 1
Cartesian
0.000 0.000 0.000
0.000 2.368 2.238
2.368 0.000 2.238
2.368 2.368 2.238
2.368 2.368 0.000
```

---

This record from Alexandria describes NaAgBr2Cl after structural relaxation. The functional is PBE-GGA.

Values from the calculation:
polymorph energy (0 for the lowest one) = 0 meV/atom
calculated density = 3.70 g cm⁻³
formation energy from raw total energies = -707.4 meV per atom

Structure (POSCAR):
```
NaAgBr2Cl
1.0
5.386 0.000 0.000
0.000 5.386 0.000
0.000 0.000 5.043
Na Ag Br Cl
1 1 2 1
Cartesian
0.000 0.000 0.000
2.693 2.693 2.521
0.000 2.693 2.521
2.693 0.000 2.521
2.693 2.693 0.000
```

---

This record from Alexandria describes Na2AgBr2Cl after structural relaxation. The functional is PBE-GGA.

Values from the calculation:
calculated density = 3.17 g cm⁻³
formation energy from raw total energies = -1186.8 meV per atom

Structure (POSCAR):
```
Na2AgBr2Cl
1.0
7.321 -4.160 0.000
7.321 4.160 0.000
0.000 0.000 6.002
Na Ag Br Cl
4 2 4 2
Cartesian
5.016 2.663 3.001
9.627 2.663 3.001
5.016 -2.663 0.000
9.627 -2.663 0.000
7.321 1.350 5.956
7.321 -1.350 2.955
4.967 2.725 0.004
9.676 2.725 0.004
4.967 -2.725 3.005
9.676 -2.725 3.005
7.321 1.255 3.007
7.321 -1.255 0.006
```

---

Copy entry 7 word for word.
This record from Alexandria describes MnAgBrCl6 after structural relaxation. The functional is PBE-GGA.

Values from the calculation:
calculated density = 2.58 g cm⁻³
formation energy from raw total energies = -556.1 meV per atom

Structure (POSCAR):
```
MnAgBrCl6
1.0
6.603 0.000 0.000
-2.646 6.056 0.000
-0.086 -0.063 7.338
Mn Ag Br Cl
1 1 1 6
Cartesian
0.000 0.000 0.000
0.347 3.970 7.338
5.131 0.905 3.662
-1.748 4.626 1.469
-1.059 5.739 5.875
0.973 1.746 1.062
2.661 4.400 6.278
4.658 0.233 1.401
5.530 1.621 5.926
```

---

- Number 1 is which compound?
  KAgBrCl2

---

- The lowest formation energy from raw total energies belongs to which entry?
  Li2AgBrCl2

---

- Among the records above, which one has the lowest formation energy from raw total energies?
  Li2AgBrCl2